(1)
LaEr3S6 | SCAN | PBEsol geometry

extended XYZ file:
```
20
Lattice="3.932 0.000 0.000 0.000 10.882 -0.022 0.000 -3.605 10.582" Properties=species:S:1:pos:R:3 pbc="T T T"
S 2.949 7.703 5.851
S 0.983 -2.994 9.396
S 2.949 3.297 10.184
S 0.983 -0.426 4.710
S 0.983 7.548 2.417
S 2.949 10.271 1.164
S 2.949 -0.271 8.144
S 0.983 3.979 0.376
S 2.949 2.393 6.257
S 2.949 2.381 2.649
S 0.983 4.884 4.303
S 0.983 4.895 7.912
Er 2.949 9.092 3.508
Er 0.983 5.335 10.557
Er 0.983 2.211 4.356
Er 0.983 -1.815 7.052
Er 2.949 1.942 0.003
Er 2.949 5.066 6.204
La 2.949 5.299 2.064
La 0.983 1.978 8.496
```

Calculated values
Energy relative to the elements, uncorrected: -2.416 eV per atom
Total moment: 0.00 μB per atom



(2)
CaCrMo2 | SCAN | PBEsol geometry

extended XYZ file:
```
4
Lattice="2.729 0.000 0.000 -1.364 4.418 0.091 0.000 -0.065 5.911" Properties=species:S:1:pos:R:3 pbc="T T T"
Cr 1.364 2.137 4.758
Mo 0.000 0.053 0.011
Mo 0.000 2.189 1.206
Ca 0.000 4.360 3.072
```

Calculated values
Fermi-level density of states: 2.75 states/eV/f.u.
Total moment: 0.86 μB per atom
Relative energy among the computed polymorphs: 79.2 meV per atom



(3)
Mn3TeS | SCAN | PBEsol geometry

extended XYZ file:
```
5
Lattice="-3.345 2.618 -0.023 -1.949 -2.466 2.857 1.748 2.260 3.143" Properties=species:S:1:pos:R:3 pbc="T T T"
Te -1.773 1.206 2.989
Mn -0.975 -1.233 1.428
Mn -1.672 1.309 -0.011
Mn 0.874 1.130 1.571
S 0.000 0.000 0.000
```

Calculated values
Fermi-level density of states: 3.17 states/eV/f.u.
Energy relative to the elements, uncorrected: 0.037 eV per atom
Total moment: 2.01 μB per atom



(4)
NbCdO2 | SCAN | PBEsol geometry

extended XYZ file:
```
4
Lattice="-2.819 -1.473 -0.690 -0.001 -2.989 -1.289 -1.056 -4.032 5.244" Properties=species:S:1:pos:R:3 pbc="T T T"
O -1.021 -3.269 3.472
O -2.855 -5.226 -0.207
Cd -1.938 -4.247 1.632
Nb 0.000 0.000 0.000
```

Calculated values
Fermi-level density of states: 1.47 states/eV/f.u.
Energy relative to the elements, uncorrected: -1.316 eV per atom
Total moment: 0.00 μB per atom
Relative energy among the computed polymorphs: 231.5 meV per atom



(5)
MnGaH4O2F5 | SCAN | PBEsol geometry

extended XYZ file:
```
26
Lattice="-4.208 3.550 -3.259 -6.852 0.027 2.597 -2.372 6.054 3.378" Properties=species:S:1:pos:R:3 pbc="T T T"
O -11.810 8.381 3.058
O -5.793 3.918 2.987
O -1.622 1.250 -0.342
O -7.639 5.713 -0.271
F -10.522 5.053 0.816
F -2.911 4.579 1.900
F -4.917 5.655 0.515
F -5.432 1.186 1.460
F -9.286 6.558 2.648
F -8.000 8.445 1.256
F -8.516 3.976 2.201
F -6.875 3.020 0.174
F -4.146 3.073 0.069
F -6.557 6.611 2.542
Ga -5.530 1.788 -0.331
Ga -3.290 4.802 0.060
H -8.498 2.605 -0.167
H -8.470 2.269 2.266
H -6.020 3.039 3.386
H -5.076 4.309 3.551
H -4.934 7.026 2.883
H -4.962 7.363 0.450
H -7.413 6.593 -0.670
H -8.357 5.323 -0.834
Mn 0.000 0.000 0.000
Mn -6.716 4.816 1.358
```

Calculated values
Fermi-level density of states: 0.00 states/eV/f.u.
Total moment: 0.38 μB per atom
Raw total energy: -210.01 eV/cell



(6)
CdBrO2F | SCAN | PBEsol geometry

extended XYZ file:
```
5
Lattice="3.770 0.000 0.000 0.000 3.770 0.000 0.000 0.000 5.362" Properties=species:S:1:pos:R:3 pbc="T T T"
O 0.000 1.885 0.000
O 1.885 0.000 0.000
Br 0.000 0.000 0.000
Cd 1.885 1.885 2.681
F 0.000 0.000 2.681
```

Calculated values
Fermi-level density of states: 0.92 states/eV/f.u.
Energy relative to the elements, uncorrected: -0.083 eV per atom
Total moment: 0.00 μB per atom



(7)
ScInIr | SCAN | PBEsol geometry

extended XYZ file:
```
3
Lattice="-3.920 -0.044 2.130 -0.276 -1.664 4.131 -0.688 2.728 3.463" Properties=species:S:1:pos:R:3 pbc="T T T"
In -2.442 0.510 4.862
Ir -1.221 0.255 2.431
Sc 0.000 0.000 0.000
```

Calculated values
Fermi-level density of states: 1.75 states/eV/f.u.
Total moment: 0.00 μB per atom
Raw total energy: -120.84 eV/cell



(8)
Ta2OsWF | SCAN | PBEsol geometry

extended XYZ file:
```
5
Lattice="4.824 0.000 0.000 0.000 4.824 0.000 0.000 0.000 4.715" Properties=species:S:1:pos:R:3 pbc="T T T"
Ta 2.412 0.000 0.000
Ta 0.000 2.412 0.000
Os 0.000 0.000 0.000
F 2.412 2.412 2.358
W 0.000 0.000 2.358
```

Calculated values
Fermi-level density of states: 3.84 states/eV/f.u.
Energy relative to the elements, uncorrected: 1.402 eV per atom
Total moment: 0.00 μB per atom